# Pm2GeSe

Crystalline Pm2GeSe at its relaxed geometry (PBE, the Alexandria database).

Computed properties:
- Formation energy (no corrections): -1.417 eV/atom
- E_tot: -5.818 eV/atom
- Fermi-level density of states: 0.25 states/eV/atom

Unit cell a=9.4585 b=9.4585 c=7.3475 alpha=104.94 beta=104.94 gamma=126.58
Fractional positions:
Pm 0.0595 0.4348 0.7445
Pm 0.1785 0.3038 0.2440
Pm 0.3038 0.1785 0.7440
Pm 0.4348 0.0595 0.2445
Pm 0.5652 0.9405 0.7555
Pm 0.6962 0.8215 0.2560
Pm 0.8215 0.6962 0.7560
Pm 0.9405 0.5652 0.2555
Ge 0.0644 0.9356 0.2500
Ge 0.1894 0.8106 0.7500
Ge 0.8106 0.1894 0.2500
Ge 0.9356 0.0644 0.7500
Se 0.3141 0.6859 0.2500
Se 0.4391 0.5609 0.7500
Se 0.5609 0.4391 0.2500
Se 0.6859 0.3141 0.7500